1.
The following is a PBE calculation of an optimized crystal structure of Ba2LaMn, from Alexandria via LeMat-Bulk.

## Properties
ΔE_f: 200 kJ/mol of formula units
Crystal system: cubic

Unit cell a=8.4862 b=8.4862 c=8.4862 alpha=90.00 beta=90.00 gamma=90.00
Closest atoms and distances in Å follow each position.
Space group F-43m (No. 216)
Asymmetric unit:
Ba 0.0000 0.0000 0.0000  4 Ba 3.67, 4 La 3.67
Ba 0.2500 0.2500 0.2500  4 Mn 3.67, 4 Ba 3.67
La 0.2500 0.2500 0.7500  4 Ba 3.67, 4 Mn 3.67
Mn 0.0000 0.0000 0.5000  4 La 3.67, 4 Ba 3.67

---

2.
The following is a PBE calculation of an optimized crystal structure of TaCdIrO2, from Alexandria via LeMat-Bulk.

## Properties
Formation energy from raw total energies: -1.09 eV per atom
Crystal system: tetragonal

Unit cell a=3.9076 b=3.9076 c=5.4163 alpha=90.00 beta=90.00 gamma=90.00
Closest atoms and distances in Å follow each position.
Space group P4/mmm (No. 123)
Asymmetric unit:
Ta 0.0000 0.0000 0.0000  4 O 1.95
Cd 0.5000 0.5000 0.5000  4 Ir 2.76
Ir 0.0000 0.0000 0.5000  2 Ta 2.71, 4 Cd 2.76
O 0.0000 0.5000 0.0000  2 Ta 1.95

---

3.
The following is a PBE calculation of an optimized crystal structure of AcThS2, from Alexandria via LeMat-Bulk.

## Properties
Formation energy from raw total energies: -1.77 eV per atom
Crystal system: trigonal

Unit cell a=3.9853 b=3.9853 c=22.7737 alpha=90.00 beta=90.00 gamma=120.00
Closest atoms and distances in Å follow each position.
Space group R3m (No. 160, hexagonal axes)
Asymmetric unit:
Ac 0.0000 0.0000 0.0000  6 S 3.01-3.10
Th 0.0000 0.0000 0.8268  6 S 2.86-2.96
S 0.0000 0.0000 0.4185  3 Th 2.86, 3 Ac 3.01
S 0.0000 0.0000 0.5752  3 Th 2.96, 3 Ac 3.10

---

4.
The following is a PBE calculation of an optimized crystal structure of Nd2Ge2Pt3, from Alexandria via LeMat-Bulk.

## Properties
ΔE_f: -645 kJ/mol of formula units
Crystal system: monoclinic

Unit cell a=10.6245 b=4.0654 c=7.1327 alpha=90.00 beta=114.22 gamma=90.00
Closest atoms and distances in Å follow each position.
Space group C2/m (No. 12)
Asymmetric unit:
Nd 0.1320 0.0000 0.2662  4 Ge 3.03-3.18, 6 Pt 3.08-3.29
Ge 0.1544 0.0000 0.7251  5 Pt 2.63-2.69
Pt 0.0000 0.5000 0.5000  4 Ge 2.69, 2 Pt 2.82
Pt 0.1185 0.5000 0.9337  3 Ge 2.63-2.64, 1 Pt 2.82

---

5.
The following is a PBE calculation of an optimized crystal structure of Li2Se4I3, from Alexandria via LeMat-Bulk.

## Properties
Formation energy from raw total energies: -0.37 eV per atom
Crystal system: triclinic

Unit cell a=4.5257 b=6.5604 c=11.8398 alpha=101.87 beta=93.02 gamma=109.37
Closest atoms and distances in Å follow each position.
Space group P-1 (No. 2)
Asymmetric unit:
Li 0.1766 0.3334 0.0740  2 Se 2.66-2.68, 3 I 2.87-2.90
Se 0.2951 0.5327 0.4515  1 Se 2.33
Se 0.4273 0.8844 0.9077  1 Se 2.31
I 0.1726 0.3848 0.8392  3 Li 2.87-2.90, 1 Se 3.01
I 0.5000 0.0000 0.5000  2 Se 2.81

---

6.
The following is a PBE calculation of an optimized crystal structure of Ce2SmPb3, from Alexandria via LeMat-Bulk.

## Properties
ΔE_f: -191 kJ/mol of formula units
Crystal system: monoclinic

Unit cell a=14.3770 b=6.4236 c=9.0736 alpha=90.00 beta=108.39 gamma=90.00
Closest atoms and distances in Å follow each position.
Space group C2/c (No. 15)
Asymmetric unit:
Ce 0.1651 0.9999 0.0826  6 Pb 3.19-3.21
Sm 0.0000 0.4995 0.2500  6 Pb 3.21-3.25
Pb 0.0000 0.0006 0.7500  4 Ce 3.20, 2 Sm 3.21
Pb 0.1701 0.4999 0.0850  4 Ce 3.19-3.21, 2 Sm 3.24-3.25

---

7.
The following is a PBE calculation of an optimized crystal structure of Ca2Ga3Os, from Alexandria via LeMat-Bulk.

## Properties
ΔE_f: -192 kJ/mol of formula units
Crystal system: trigonal

Unit cell a=5.5559 b=5.5559 c=12.9528 alpha=90.00 beta=90.00 gamma=120.00
Closest atoms and distances in Å follow each position.
Space group R-3m (No. 166, hexagonal axes)
Asymmetric unit:
Ca 0.0000 0.0000 0.1286  9 Ga 3.10-3.24, 3 Os 3.25, 4 Ca 3.33-3.36
Ga 0.0000 0.5000 0.0000  2 Os 2.69, 4 Ga 2.78
Os 0.0000 0.0000 0.5000  6 Ga 2.69

---

8.
The following is a PBE calculation of an optimized crystal structure of GdTmThPa, from Alexandria via LeMat-Bulk.

## Properties
ΔE_f: 133 kJ/mol of formula units
Crystal system: cubic

Unit cell a=7.8319 b=7.8319 c=7.8319 alpha=90.00 beta=90.00 gamma=90.00
Closest atoms and distances in Å follow each position.
Space group F-43m (No. 216)
Asymmetric unit:
Gd 0.0000 0.0000 0.0000  4 Th 3.39, 4 Tm 3.39
Tm 0.2500 0.2500 0.2500  4 Gd 3.39, 4 Pa 3.39
Th 0.2500 0.2500 0.7500  4 Gd 3.39, 4 Pa 3.39
Pa 0.0000 0.0000 0.5000  4 Th 3.39, 4 Tm 3.39

---

9.
The following is a PBE calculation of an optimized crystal structure of Na2SbRuW, from Alexandria via LeMat-Bulk.

## Properties
Formation energy from raw total energies: 1.46 eV per atom
Crystal system: tetragonal

Unit cell a=5.6002 b=5.6002 c=4.5789 alpha=90.00 beta=90.00 gamma=90.00
Closest atoms and distances in Å follow each position.
Space group P4/mmm (No. 123)
Asymmetric unit:
Na 0.0000 0.5000 0.0000  2 W 2.80
Sb 0.0000 0.0000 0.5000  8 Na 3.62, 4 Ru 3.96
Ru 0.5000 0.5000 0.5000  2 W 2.29
W 0.5000 0.5000 0.0000  2 Ru 2.29

---

10.
The following is a PBE calculation of an optimized crystal structure of SrLiLa2, from Alexandria via LeMat-Bulk.

## Properties
ΔE_f: 100 kJ/mol of formula units
Crystal system: tetragonal

Unit cell a=5.2894 b=5.2894 c=10.5803 alpha=90.00 beta=90.00 gamma=90.00
Closest atoms and distances in Å follow each position.
Space group I-4m2 (No. 119)
Asymmetric unit:
Sr 0.0000 0.0000 0.0000  8 La 3.74, 4 Li 3.74
Li 0.0000 0.5000 0.2500  8 La 3.74, 4 Sr 3.74
La 0.0000 0.0000 0.5000  4 Sr 3.74, 4 La 3.74, 4 Li 3.74
La 0.0000 0.5000 0.7500  4 Li 3.74, 4 La 3.74, 4 Sr 3.74

---

11.
The following is a PBE calculation of an optimized crystal structure of LiCoPb2, from Alexandria via LeMat-Bulk.

## Properties
ΔE_f: 90 kJ/mol of formula units
Crystal system: tetragonal

Unit cell a=3.4458 b=3.4458 c=6.8994 alpha=90.00 beta=90.00 gamma=90.00
Closest atoms and distances in Å follow each position.
Space group P4mm (No. 99)
Asymmetric unit:
Li 0.0000 0.0000 0.0000  5 Pb 2.71-2.90, 4 Co 2.72
Co 0.5000 0.5000 0.8256  4 Li 2.72, 5 Pb 2.77-2.87
Pb 0.0000 0.0000 0.6071  1 Li 2.71, 4 Co 2.87
Pb 0.5000 0.5000 0.2277  1 Co 2.77, 4 Li 2.90

---

12.
The following is a PBE calculation of an optimized crystal structure of ScTlRh2, from Alexandria via LeMat-Bulk.

## Properties
ΔE_f: -226 kJ/mol of formula units
Crystal system: tetragonal

Unit cell a=4.3962 b=4.3962 c=3.5467 alpha=90.00 beta=90.00 gamma=90.00
Closest atoms and distances in Å follow each position.
Space group P4/mmm (No. 123)
Asymmetric unit:
Sc 0.0000 0.0000 0.0000  8 Rh 2.82, 4 Tl 3.11
Tl 0.5000 0.5000 0.0000  8 Rh 2.82, 4 Sc 3.11
Rh 0.0000 0.5000 0.5000  4 Tl 2.82, 4 Sc 2.82, 4 Rh 3.11

---

13.
The following is a PBE calculation of an optimized crystal structure of Tb4Pr5Sm3, from Alexandria via LeMat-Bulk.

## Properties
ΔE_f: 16 kJ/mol of formula units
Crystal system: triclinic

Unit cell a=6.3103 b=7.2777 c=8.9248 alpha=90.08 beta=90.06 gamma=90.01
Closest atoms and distances in Å follow each position.
Space group P-1 (No. 2)
Asymmetric unit:
Tb 0.1662 0.9995 0.1637  4 Tb 3.59-3.64, 3 Sm 3.60-3.64, 5 Pr 3.64-3.67
Tb 0.3332 0.2478 0.8353  3 Tb 3.60-3.64, 4 Sm 3.61-3.67, 5 Pr 3.62-3.66
Pr 0.0007 0.2486 0.5003  6 Pr 3.62-3.67, 3 Sm 3.64-3.66, 3 Tb 3.65-3.66
Pr 0.1687 0.4996 0.1647  5 Tb 3.62-3.66, 4 Sm 3.62-3.66, 3 Pr 3.63-3.67
Pr 0.5000 0.0000 0.5000  4 Pr 3.63-3.64, 4 Sm 3.64-3.65, 4 Tb 3.65-3.67
Sm 0.3334 0.7524 0.8353  6 Tb 3.60-3.67, 5 Pr 3.62-3.66, 1 Sm 3.66
Sm 0.5000 0.5000 0.5000  8 Pr 3.64-3.65, 2 Sm 3.66, 2 Tb 3.67

---

14.
The following is a PBE calculation of an optimized crystal structure of Ba4InCu, from Alexandria via LeMat-Bulk.

## Properties
ΔE_f: -54 kJ/mol of formula units
Crystal system: orthorhombic

Unit cell a=10.2703 b=4.6675 c=21.9213 alpha=90.00 beta=90.00 gamma=90.00
Closest atoms and distances in Å follow each position.
Space group Pnma (No. 62)
Asymmetric unit:
Ba 0.0150 0.2500 0.0723  3 Cu 3.37-3.43, 1 In 3.65
Ba 0.0309 0.2500 0.7735  4 In 3.63-3.92
Ba 0.1462 0.2500 0.3586  2 Cu 3.36
Ba 0.1549 0.2500 0.5582  2 Cu 3.60, 2 In 3.81
In 0.2345 0.7500 0.6902  9 Ba 3.63-4.05
Cu 0.2176 0.2500 0.9482  7 Ba 3.36-3.60

---

15.
The following is a PBE calculation of an optimized crystal structure of BaSnTe2, from Alexandria via LeMat-Bulk.

## Properties
Formation energy from raw total energies: -0.51 eV per atom
Crystal system: trigonal

Unit cell a=5.2569 b=5.2569 c=27.8910 alpha=90.00 beta=90.00 gamma=120.00
Closest atoms and distances in Å follow each position.
Space group R-3m (No. 166, hexagonal axes)
Asymmetric unit:
Ba 0.0000 0.0000 0.0000  6 Te 3.51
Sn 0.0000 0.0000 0.5000  2 Te 2.89
Te 0.0000 0.0000 0.3963  1 Sn 2.89

---

16.
The following is a PBE calculation of an optimized crystal structure of Tl3HgRh, from Alexandria via LeMat-Bulk.

## Properties
ΔE_f: 22 kJ/mol of formula units
Crystal system: triclinic

Unit cell a=5.3215 b=7.4463 c=7.8102 alpha=61.58 beta=89.65 gamma=89.90
Closest atoms and distances in Å follow each position.
Space group P-1 (No. 2)
Asymmetric unit:
Tl 0.0000 0.0000 0.0000  2 Rh 2.69
Tl 0.0000 0.5000 0.0000  2 Rh 2.69
Tl 0.4976 0.1175 0.2618  2 Rh 2.66
Tl 0.4998 0.3753 0.7558  4 Hg 3.48-3.50, 8 Tl 3.48-3.74
Hg 0.9999 0.3101 0.5005  2 Rh 2.75, 1 Hg 2.82
Rh 0.0026 0.8912 0.7176  4 Tl 2.66-2.69, 2 Hg 2.75

---

17.
The following is a PBE calculation of an optimized crystal structure of Cr2NiBr, from Alexandria via LeMat-Bulk.

## Properties
Formation energy from raw total energies: 0.86 eV per atom
Crystal system: tetragonal

Unit cell a=3.7270 b=3.7270 c=9.4470 alpha=90.00 beta=90.00 gamma=90.00
Closest atoms and distances in Å follow each position.
Space group I-4m2 (No. 119)
Asymmetric unit:
Cr 0.0000 0.0000 0.0000  4 Br 2.64
Cr 0.0000 0.5000 0.2500  4 Ni 2.64
Ni 0.0000 0.5000 0.7500  4 Cr 2.64
Br 0.0000 0.0000 0.5000  4 Cr 2.64

---

18.
The following is a PBE calculation of an optimized crystal structure of La6PrAu2, from Alexandria via LeMat-Bulk.

## Properties
ΔE_f: -294 kJ/mol of formula units
Crystal system: monoclinic

Unit cell a=12.9905 b=3.8249 c=12.2969 alpha=90.00 beta=107.47 gamma=90.00
Closest atoms and distances in Å follow each position.
Space group C2/m (No. 12)
Asymmetric unit:
La 0.0308 0.0000 0.3286  2 Au 3.19, 1 La 3.48
La 0.1862 0.5000 0.8757  2 Au 3.21, 3 La 3.48-3.56
La 0.1884 0.5000 0.5931  2 Au 3.47, 10 La 3.48-3.82
Pr 0.0000 0.0000 0.0000  4 Au 3.16
Au 0.1431 0.5000 0.1900  2 Pr 3.16, 6 La 3.19-3.47

---

19.
The following is a PBE calculation of an optimized crystal structure of Na2CoAuN, from Alexandria via LeMat-Bulk.

## Properties
Formation energy from raw total energies: -0.02 eV per atom
Crystal system: tetragonal

Unit cell a=5.0347 b=5.0347 c=3.4351 alpha=90.00 beta=90.00 gamma=90.00
Closest atoms and distances in Å follow each position.
Space group P4/mmm (No. 123)
Asymmetric unit:
Na 0.0000 0.5000 0.0000  2 N 2.52
Co 0.0000 0.0000 0.5000  2 N 1.72
Au 0.5000 0.5000 0.5000  8 Na 3.05
N 0.0000 0.0000 0.0000  2 Co 1.72

---

20.
The following is a PBE calculation of an optimized crystal structure of Sm8Co2Rh, from Alexandria via LeMat-Bulk.

## Properties
ΔE_f: -120 kJ/mol of formula units
Crystal system: monoclinic

Unit cell a=8.1724 b=12.4684 c=6.2689 alpha=90.00 beta=108.98 gamma=90.00
Closest atoms and distances in Å follow each position.
Space group Cm (No. 8)
Asymmetric unit:
Sm 0.0000 0.0000 0.0000  1 Rh 2.90, 2 Co 3.04
Sm 0.0720 0.3667 0.8019  2 Co 2.74-2.76, 1 Rh 3.04
Sm 0.1472 0.1336 0.5905  2 Co 2.73-2.74
Sm 0.2201 0.5000 0.3807  2 Co 3.03, 1 Rh 3.07
Sm 0.3617 0.2096 0.1924  1 Rh 2.82
Co 0.3574 0.3101 0.6900  6 Sm 2.73-3.04
Rh 0.3594 0.0000 0.0215  6 Sm 2.82-3.07